MoOs2Cl: optimized geometry, PBE.

The structure belongs to space group P4mm (No. 99); the cell edges are 2.8036, 2.8036 and 8.7798 Å and the angles 90.00°, 90.00° and 90.00°. The inequivalent atoms are Mo at (0.0000, 0.0000, 0.0000), Os at (0.0000, 0.0000, 0.4243), Os at (0.5000, 0.5000, 0.2254) and Cl at (0.5000, 0.5000, 0.8157).

The calculation puts the calculated volume at 17.3 Å³ per atom. The value obtained for the relative energy among the computed polymorphs is 0.00 eV/f.u. For the mass density, the calculation gives 12316 kg/m³.



TlZn2Ru: optimized geometry, PBE.

The structure belongs to space group R3m (No. 160, hexagonal axes); the cell edges are 3.0631, 3.0631 and 26.1001 Å and the angles 90.00°, 90.00° and 120.00°. The inequivalent atoms are Tl at (0.0000, 0.0000, 0.0000), Zn at (0.0000, 0.0000, 0.5048), Zn at (0.0000, 0.0000, 0.7608) and Ru at (0.0000, 0.0000, 0.2456).

The calculation puts the calculated volume at 17.7 Å³ per atom. The formation energy is 0.38 eV/atom. The value obtained for the relative energy among the computed polymorphs is 0.77 eV/f.u. For the mass density, the calculation gives 10248 kg/m³.